No. 1
Entry from Alexandria via LeMat-Bulk: a geometry-optimized NdDyHo2Tl4 structure (PBE-GGA).

abc: 5.3951 5.3951 26.5188
angles: 90.00 90.00 120.00
Last column: nearest neighbours and their distance in Å.
Space group R-3m (No. 166, hexagonal axes)
One atom of each set of equivalent atoms:
Nd: 0.0000 0.0000 0.0000 (multiplicity 3)  8 Tl 3.32-3.35
Dy: 0.0000 0.0000 0.5000 (multiplicity 3)  8 Tl 3.27-3.29
Ho: 0.0000 0.0000 0.2495 (multiplicity 6)  8 Tl 3.26-3.37
Tl: 0.0000 0.0000 0.1264 (multiplicity 6)  4 Ho 3.26-3.31, 3 Dy 3.29, 1 Nd 3.35
Tl: 0.0000 0.0000 0.3765 (multiplicity 6)  1 Dy 3.27, 4 Ho 3.30-3.37, 3 Nd 3.32

For the formation energy, the calculation gives -0.342 eV/atom. The value obtained for the spin magnetization is 0.00 μB per atom. The calculation puts the density of states at the Fermi level at 0.84 states/eV per atom. The calculation puts the density at 10.836 g cm⁻³. The total energy is -3.841 eV per atom.

---

No. 2
Entry from Alexandria via LeMat-Bulk: a geometry-optimized ErZrHgPd structure (PBE-GGA).

abc: 7.0240 7.0240 7.0240
angles: 90.00 90.00 90.00
Last column: nearest neighbours and their distance in Å.
Space group F-43m (No. 216)
One atom of each set of equivalent atoms:
Er: 0.0000 0.0000 0.0000 (multiplicity 4)  4 Hg 3.04, 4 Pd 3.04
Zr: 0.0000 0.0000 0.5000 (multiplicity 4)  4 Pd 3.04, 4 Hg 3.04
Hg: 0.2500 0.2500 0.7500 (multiplicity 4)  4 Zr 3.04, 4 Er 3.04
Pd: 0.2500 0.2500 0.2500 (multiplicity 4)  4 Er 3.04, 4 Zr 3.04

For the formation energy, the calculation gives -0.427 eV/atom. The value obtained for the spin magnetization is 0.00 μB per atom. The calculation puts the density of states at the Fermi level at 1.45 states/eV per atom. The calculation puts the density at 10.839 g cm⁻³. The total energy is -5.079 eV per atom.

---

No. 3
Entry from Alexandria via LeMat-Bulk: a geometry-optimized Pm2PrDy5Ho structure (PBE-GGA).

abc: 8.7717 8.7717 15.4089
angles: 90.00 90.00 90.00
Last column: nearest neighbours and their distance in Å.
Space group I4/mcm (No. 140)
One atom of each set of equivalent atoms:
Pm: 0.1161 0.3839 0.0000 (multiplicity 8)  1 Pm 2.88, 2 Dy 3.02
Pr: 0.0000 0.0000 0.2500 (multiplicity 4)  10 Dy 3.59-3.85
Dy: 0.0000 0.0000 0.0000 (multiplicity 4)  4 Pm 3.52, 8 Dy 3.78, 2 Pr 3.85
Dy: 0.2092 0.2908 0.3633 (multiplicity 16)  1 Pm 3.02, 1 Ho 3.13
Ho: 0.0000 0.5000 0.2500 (multiplicity 4)  4 Dy 3.13

For the formation energy, the calculation gives 0.267 eV/atom. The value obtained for the spin magnetization is 0.00 μB per atom. The calculation puts the density of states at the Fermi level at 1.14 states/eV per atom. The calculation puts the density at 7.890 g cm⁻³. The total energy is -4.385 eV per atom.

---

No. 4
Entry from Alexandria via LeMat-Bulk: a geometry-optimized LaTb3Tm4 structure (PBE-GGA).

abc: 12.0358 12.9491 3.4719
angles: 90.00 106.55 90.00
Last column: nearest neighbours and their distance in Å.
Space group C2/m (No. 12)
One atom of each set of equivalent atoms:
La: 0.0000 0.0000 0.0000 (multiplicity 2)  2 La 3.47, 4 Tb 3.78, 8 Tm 3.86
Tb: 0.0000 0.2589 0.5000 (multiplicity 4)  6 Tm 3.36-3.57, 4 Tb 3.47-3.57
Tb: 0.0000 0.5000 0.0000 (multiplicity 2)  4 Tm 3.32, 6 Tb 3.47-3.57
Tm: 0.2435 0.3633 0.2438 (multiplicity 8)  4 Tb 3.32-3.57, 5 Tm 3.41-3.54

For the formation energy, the calculation gives 0.132 eV/atom. The value obtained for the spin magnetization is 0.00 μB per atom. The calculation puts the density of states at the Fermi level at 1.82 states/eV per atom. The calculation puts the density at 8.269 g cm⁻³. The value obtained for the distance to the lowest polymorph of the same formula is 0.92 eV per formula unit. The total energy is -4.456 eV per atom.

---

No. 5
Entry from Alexandria via LeMat-Bulk: a geometry-optimized Rb2Pu3Cl8 structure (PBE-GGA).

abc: 16.2285 8.3716 7.0949
angles: 90.00 107.36 90.00
Last column: nearest neighbours and their distance in Å.
Space group C2/m (No. 12)
One atom of each set of equivalent atoms:
Rb: 0.2320 0.0000 0.1684 (multiplicity 4)  6 Cl 3.26-3.41
Pu: 0.0000 0.2511 0.5000 (multiplicity 4)  6 Cl 2.81-2.88
Pu: 0.0000 0.5000 0.0000 (multiplicity 2)  6 Cl 2.82-2.84
Cl: 0.1026 0.5000 0.4018 (multiplicity 4)  3 Pu 2.84-2.88
Cl: 0.1070 0.2720 0.8957 (multiplicity 8)  2 Pu 2.82-2.83
Cl: 0.1079 0.0000 0.4550 (multiplicity 4)  2 Pu 2.81

The value obtained for the spin magnetization is 1.38 μB per atom. The calculation puts the density of states at the Fermi level at 2.52 states/eV per atom. The calculation puts the density at 4.283 g cm⁻³. The total energy is -6.419 eV per atom.

---

No. 6
Entry from Alexandria via LeMat-Bulk: a geometry-optimized La2PuSb4 structure (PBE-GGA).

abc: 4.3844 4.3844 12.1623
angles: 90.00 90.00 90.00
Last column: nearest neighbours and their distance in Å.
Space group P-4m2 (No. 115)
One atom of each set of equivalent atoms:
La: 0.0000 0.5000 0.2110 (multiplicity 2)  8 Sb 3.36-3.37
Pu: 0.0000 0.0000 0.5000 (multiplicity 1)  4 Sb 3.12
Sb: 0.0000 0.0000 0.0000 (multiplicity 1)  4 Sb 3.10, 4 La 3.37
Sb: 0.0000 0.5000 0.6826 (multiplicity 2)  2 Pu 3.12, 4 La 3.36
Sb: 0.5000 0.5000 0.0000 (multiplicity 1)  4 Sb 3.10, 4 La 3.37

The value obtained for the spin magnetization is 0.78 μB per atom. The calculation puts the density of states at the Fermi level at 2.41 states/eV per atom. The calculation puts the density at 7.165 g cm⁻³. The total energy is -6.580 eV per atom.